Here is Zn2CdPb after structural relaxation from Alexandria. Energies are from PBEsol.

a b c (Å): 5.179 5.179 5.179
angles (deg): 128.91 128.91 75.16
Fractional coordinates of all 4 atoms:
Zn1 0.250 0.750 0.500
Zn2 0.750 0.250 0.500
Cd1 0.000 0.000 0.000
Pb1 0.500 0.500 0.000

Values from the calculation:
Distance to the lowest polymorph of the same formula (kJ/mol of formula units): 26
Symmetry: I4/mmm (139)
Magnetization (μB per formula unit): 0.00
DFT formation energy (eV/atom): 0.20

***

Here is ZnCdPb after structural relaxation from Alexandria. Energies are from PBEsol.

a b c (Å): 4.836 4.836 3.361
angles (deg): 90.00 90.00 120.00
Fractional coordinates of all 3 atoms:
Zn1 0.000 0.000 0.000
Cd1 0.333 0.667 0.998
Pb1 0.667 0.333 0.497

Values from the calculation:
Symmetry: P3m1 (156)
Magnetization (μB per formula unit): 0.00
DFT formation energy (eV/atom): 0.15

***

Here is ZnCd2Pb after structural relaxation from Alexandria. Energies are from PBEsol.

a b c (Å): 3.163 3.163 8.666
angles (deg): 90.00 90.00 90.00
Fractional coordinates of all 4 atoms:
Zn1 0.000 0.000 0.000
Cd1 0.500 0.500 0.208
Cd2 0.500 0.500 0.792
Pb1 0.000 0.000 0.500

Values from the calculation:
Distance to the lowest polymorph of the same formula (kJ/mol of formula units): 0
Symmetry: P4/mmm (123)
Magnetization (μB per formula unit): 0.00
DFT formation energy (eV/atom): 0.10

***

Here is ZnCd2Pb after structural relaxation from Alexandria. Energies are from PBEsol.

a b c (Å): 3.239 3.239 8.279
angles (deg): 90.00 90.00 90.00
Fractional coordinates of all 4 atoms:
Zn1 0.000 0.000 0.000
Cd1 0.000 0.000 0.446
Cd2 0.500 0.500 0.202
Pb1 0.500 0.500 0.742

Values from the calculation:
Distance to the lowest polymorph of the same formula (kJ/mol of formula units): 5
Symmetry: P4mm (99)
Magnetization (μB per formula unit): 0.00
DFT formation energy (eV/atom): 0.11

***

Here is Zn2CdPb2 after structural relaxation from Alexandria. Energies are from PBEsol.

a b c (Å): 6.815 6.815 6.815
angles (deg): 141.33 141.33 55.84
Fractional coordinates of all 5 atoms:
Zn1 0.097 0.097 0.000
Zn2 0.903 0.903 0.000
Cd1 0.500 0.500 0.000
Pb1 0.250 0.750 0.500
Pb2 0.750 0.250 0.500

Values from the calculation:
Distance to the lowest polymorph of the same formula (kJ/mol of formula units): 75
Symmetry: I4/mmm (139)
Magnetization (μB per formula unit): 0.00
DFT formation energy (eV/atom): 0.27

***

Here is Zn2CdPb after structural relaxation from Alexandria. Energies are from PBEsol.

a b c (Å): 3.787 4.195 5.437
angles (deg): 90.00 107.67 90.00
Fractional coordinates of all 4 atoms:
Zn1 0.000 0.000 0.000
Zn2 0.132 0.500 0.284
Cd1 0.718 0.000 0.440
Pb1 0.422 0.500 0.824

Values from the calculation:
Distance to the lowest polymorph of the same formula (kJ/mol of formula units): 0
Symmetry: Pm (6)
Magnetization (μB per formula unit): 0.00
DFT formation energy (eV/atom): 0.13

***

Here is Zn4CdPb after structural relaxation from Alexandria. Energies are from PBEsol.

a b c (Å): 5.346 5.346 5.346
angles (deg): 60.00 60.00 60.00
Fractional coordinates of all 6 atoms:
Zn1 0.125 0.125 0.125
Zn2 0.125 0.125 0.626
Zn3 0.125 0.626 0.125
Zn4 0.626 0.125 0.125
Cd1 0.750 0.750 0.750
Pb1 0.500 0.500 0.500

Values from the calculation:
Symmetry: F-43m (216)
Magnetization (μB per formula unit): 0.00
DFT formation energy (eV/atom): 0.11

***

Here is Zn2CdPb2 after structural relaxation from Alexandria. Energies are from PBEsol.

a b c (Å): 7.081 7.081 4.495
angles (deg): 90.00 90.00 90.00
Fractional coordinates of all 10 atoms:
Zn1 0.127 0.373 0.000
Zn2 0.373 0.873 0.000
Zn3 0.627 0.127 0.000
Zn4 0.873 0.627 0.000
Cd1 0.000 0.000 0.000
Cd2 0.500 0.500 0.000
Pb1 0.176 0.676 0.500
Pb2 0.324 0.176 0.500
Pb3 0.676 0.824 0.500
Pb4 0.824 0.324 0.500

Values from the calculation:
Distance to the lowest polymorph of the same formula (kJ/mol of formula units): 0
Symmetry: P4/mbm (127)
Magnetization (μB per formula unit): 0.00
DFT formation energy (eV/atom): 0.12

***

Here is ZrCd2Pb after structural relaxation from Alexandria. Energies are from PBEsol.

a b c (Å): 4.317 4.317 4.631
angles (deg): 90.00 90.00 90.00
Fractional coordinates of all 4 atoms:
Zr1 0.000 0.000 0.000
Cd1 0.000 0.500 0.500
Cd2 0.500 0.000 0.500
Pb1 0.500 0.500 0.000

Values from the calculation:
Symmetry: P4/mmm (123)
Magnetization (μB per formula unit): 0.00
DFT formation energy (eV/atom): -0.14

***

Here is ZrCd2Pb after structural relaxation from Alexandria. Energies are from PBEsol.

a b c (Å): 3.151 3.151 9.334
angles (deg): 90.00 90.00 90.00
Fractional coordinates of all 4 atoms:
Zr1 0.000 0.000 0.000
Cd1 0.500 0.500 0.227
Cd2 0.500 0.500 0.773
Pb1 0.000 0.000 0.500

Values from the calculation:
Symmetry: P4/mmm (123)
Magnetization (μB per formula unit): 0.00
DFT formation energy (eV/atom): -0.03

***

Here is ZrCd2Pb after structural relaxation from Alexandria. Energies are from PBEsol.

a b c (Å): 5.671 5.671 5.671
angles (deg): 135.55 135.55 64.67
Fractional coordinates of all 4 atoms:
Zr1 0.000 0.000 0.000
Cd1 0.500 0.500 0.000
Cd2 0.750 0.250 0.500
Pb1 0.250 0.750 0.500

Values from the calculation:
Symmetry: I-4m2 (119)
Magnetization (μB per formula unit): 0.00
DFT formation energy (eV/atom): -0.02

***

Here is ZrCd2Pb after structural relaxation from Alexandria. Energies are from PBEsol.

a b c (Å): 5.798 5.798 5.696
angles (deg): 115.00 115.00 31.28
Fractional coordinates of all 4 atoms:
Zr1 0.000 0.000 0.000
Cd1 0.490 0.490 0.498
Cd2 0.743 0.743 0.433
Pb1 0.249 0.249 0.937

Values from the calculation:
Symmetry: Cm (8)
Magnetization (μB per formula unit): 0.00
DFT formation energy (eV/atom): -0.06

***

Here is ZrCd2Pb after structural relaxation from Alexandria. Energies are from PBEsol.

a b c (Å): 5.866 5.866 5.866
angles (deg): 138.34 138.34 60.39
Fractional coordinates of all 4 atoms:
Zr1 0.000 0.000 0.000
Cd1 0.250 0.750 0.500
Cd2 0.750 0.250 0.500
Pb1 0.500 0.500 0.000

Values from the calculation:
Symmetry: I4/mmm (139)
Magnetization (μB per formula unit): 0.00
DFT formation energy (eV/atom): -0.09

***

Here is ZrCd2Pb after structural relaxation from Alexandria. Energies are from PBEsol.

a b c (Å): 3.277 4.248 6.418
angles (deg): 90.00 90.00 90.00
Fractional coordinates of all 4 atoms:
Zr1 0.000 0.000 0.000
Cd1 0.000 0.000 0.477
Cd2 0.500 0.500 0.258
Pb1 0.500 0.500 0.763

Values from the calculation:
Symmetry: Pmm2 (25)
Magnetization (μB per formula unit): 0.00
DFT formation energy (eV/atom): -0.01

***

Here is ZrCd2Pb after structural relaxation from Alexandria. Energies are from PBEsol.

a b c (Å): 10.420 10.420 10.420
angles (deg): 17.87 17.87 17.87
Fractional coordinates of all 4 atoms:
Zr1 0.000 0.000 0.000
Cd1 0.254 0.254 0.254
Cd2 0.746 0.746 0.746
Pb1 0.500 0.500 0.500

Values from the calculation:
Symmetry: R-3m (166)
Magnetization (μB per formula unit): 0.00
DFT formation energy (eV/atom): 0.03

***

Here is ZrCd2Pb after structural relaxation from Alexandria. Energies are from PBEsol.

a b c (Å): 6.234 6.234 6.234
angles (deg): 149.72 132.26 57.58
Fractional coordinates of all 4 atoms:
Zr1 0.000 0.000 0.000
Cd1 0.240 0.740 0.500
Cd2 0.760 0.260 0.500
Pb1 0.500 0.500 0.000

Values from the calculation:
Symmetry: Immm (71)
Magnetization (μB per formula unit): 0.00
DFT formation energy (eV/atom): -0.07

***

Here is ZrCd2Pb after structural relaxation from Alexandria. Energies are from PBEsol.

a b c (Å): 5.587 5.587 3.196
angles (deg): 90.00 90.00 115.79
Fractional coordinates of all 4 atoms:
Zr1 0.000 0.000 0.000
Cd1 0.000 0.500 0.500
Cd2 0.500 0.000 0.500
Pb1 0.500 0.500 0.000

Values from the calculation:
Symmetry: Cmmm (65)
Magnetization (μB per formula unit): 0.00
DFT formation energy (eV/atom): -0.05

***

Here is ZrCdPb after structural relaxation from Alexandria. Energies are from PBEsol.

a b c (Å): 4.776 4.776 4.776
angles (deg): 60.00 60.00 60.00
Fractional coordinates of all 3 atoms:
Zr1 0.000 0.000 0.000
Cd1 0.500 0.500 0.500
Pb1 0.750 0.750 0.750

Values from the calculation:
Symmetry: F-43m (216)
Magnetization (μB per formula unit): 0.00
DFT formation energy (eV/atom): 0.39

***

Here is Zr3CdPb after structural relaxation from Alexandria. Energies are from PBEsol.

a b c (Å): 5.300 5.300 5.300
angles (deg): 90.00 90.00 90.00
Fractional coordinates of all 5 atoms:
Zr1 0.000 0.000 0.500
Zr2 0.000 0.500 0.000
Zr3 0.500 0.000 0.000
Cd1 0.500 0.500 0.500
Pb1 0.000 0.000 0.000

Values from the calculation:
Symmetry: Pm-3m (221)
Magnetization (μB per formula unit): 0.00
DFT formation energy (eV/atom): 1.05

***

Here is Pr6Cd4Pd13 after structural relaxation from Alexandria. Energies are from PBEsol.

a b c (Å): 8.419 8.419 8.419
angles (deg): 109.47 109.47 109.47
Fractional coordinates of all 23 atoms:
Pr1 0.000 0.301 0.301
Pr2 0.000 0.699 0.699
Pr3 0.301 0.000 0.301
Pr4 0.301 0.301 0.000
Pr5 0.699 0.000 0.699
Pr6 0.699 0.699 0.000
Cd1 0.000 0.000 0.500
Cd2 0.000 0.500 0.000
Cd3 0.500 0.000 0.000
Cd4 0.500 0.500 0.500
Pd1 0.000 0.000 0.000
Pd2 0.000 0.342 0.658
Pd3 0.000 0.658 0.342
Pd4 0.317 0.658 0.658
Pd5 0.342 0.000 0.658
Pd6 0.342 0.342 0.683
Pd7 0.342 0.658 0.000
Pd8 0.342 0.683 0.342
Pd9 0.658 0.000 0.342
Pd10 0.658 0.317 0.658
Pd11 0.658 0.342 0.000
Pd12 0.658 0.658 0.317
Pd13 0.683 0.342 0.342

Values from the calculation:
Symmetry: Im-3m (229)
Magnetization (μB per formula unit): 0.00
DFT formation energy (eV/atom): -0.72

***

Here is Cd2PdRh after structural relaxation from Alexandria. Energies are from PBEsol.

a b c (Å): 4.503 4.503 4.503
angles (deg): 60.00 60.00 60.00
Fractional coordinates of all 4 atoms:
Cd1 0.250 0.250 0.250
Cd2 0.750 0.750 0.750
Pd1 0.000 0.000 0.000
Rh1 0.500 0.500 0.500

Values from the calculation:
Symmetry: Fm-3m (225)
Magnetization (μB per formula unit): 0.00
DFT formation energy (eV/atom): -0.25

***

Here is Cd3PdRu after structural relaxation from Alexandria. Energies are from PBEsol.

a b c (Å): 4.976 4.976 4.976
angles (deg): 90.00 90.00 90.00
Fractional coordinates of all 5 atoms:
Cd1 0.000 0.000 0.500
Cd2 0.000 0.500 0.000
Cd3 0.500 0.000 0.000
Pd1 0.500 0.500 0.500
Ru1 0.000 0.000 0.000

Values from the calculation:
Symmetry: Pm-3m (221)
Magnetization (μB per formula unit): 0.42
DFT formation energy (eV/atom): 1.02

***

Here is CdPdSe2S after structural relaxation from Alexandria. Energies are from PBEsol.

a b c (Å): 4.787 4.787 4.793
angles (deg): 90.00 90.00 90.00
Fractional coordinates of all 5 atoms:
Cd1 0.000 0.000 0.000
Pd1 0.500 0.500 0.000
Se1 0.000 0.500 0.500
Se2 0.500 0.000 0.500
S1 0.000 0.000 0.500

Values from the calculation:
Symmetry: P4/mmm (123)
Magnetization (μB per formula unit): 0.00
ΔE_f (raw) (eV/atom): 0.604

***

Here is ScCd3Pd after structural relaxation from Alexandria. Energies are from PBEsol.

a b c (Å): 4.981 4.981 4.981
angles (deg): 90.00 90.00 90.00
Fractional coordinates of all 5 atoms:
Sc1 0.000 0.000 0.000
Cd1 0.000 0.500 0.500
Cd2 0.500 0.000 0.500
Cd3 0.500 0.500 0.000
Pd1 0.500 0.500 0.500

Values from the calculation:
Symmetry: Pm-3m (221)
Magnetization (μB per formula unit): 0.37
DFT formation energy (eV/atom): 0.19

***

Here is ScCdPd after structural relaxation from Alexandria. Energies are from PBEsol.

a b c (Å): 5.142 5.142 5.142
angles (deg): 140.81 140.81 56.63
Fractional coordinates of all 3 atoms:
Sc1 0.000 0.000 0.000
Cd1 0.317 0.317 0.000
Pd1 0.647 0.647 0.000

Values from the calculation:
Symmetry: I4mm (107)
Magnetization (μB per formula unit): 0.00
DFT formation energy (eV/atom): -0.66

***

Here is Cd3PdSe after structural relaxation from Alexandria. Energies are from PBEsol.

a b c (Å): 5.136 5.136 5.136
angles (deg): 90.00 90.00 90.00
Fractional coordinates of all 5 atoms:
Cd1 0.000 0.000 0.500
Cd2 0.000 0.500 0.000
Cd3 0.500 0.000 0.000
Pd1 0.500 0.500 0.500
Se1 0.000 0.000 0.000

Values from the calculation:
Distance to the lowest polymorph of the same formula (kJ/mol of formula units): 241
Symmetry: Pm-3m (221)
Magnetization (μB per formula unit): 0.00
ΔE_f (raw) (eV/atom): 0.717

***

Here is Cd3PdSe after structural relaxation from Alexandria. Energies are from PBEsol.

a b c (Å): 5.039 5.039 5.039
angles (deg): 90.00 90.00 90.00
Fractional coordinates of all 5 atoms:
Cd1 0.000 0.000 0.500
Cd2 0.000 0.500 0.000
Cd3 0.500 0.000 0.000
Pd1 0.000 0.000 0.000
Se1 0.500 0.500 0.500

Values from the calculation:
Distance to the lowest polymorph of the same formula (kJ/mol of formula units): 0
Symmetry: Pm-3m (221)
Magnetization (μB per formula unit): 0.00
ΔE_f (raw) (eV/atom): 0.217

***

Here is SrCdSiPd2 after structural relaxation from Alexandria. Energies are from PBEsol.

a b c (Å): 5.040 5.040 4.683
angles (deg): 90.00 90.00 90.00
Fractional coordinates of all 5 atoms:
Sr1 0.000 0.000 0.000
Cd1 0.500 0.500 0.500
Si1 0.500 0.500 0.000
Pd1 0.000 0.500 0.500
Pd2 0.500 0.000 0.500

Values from the calculation:
Symmetry: P4/mmm (123)
Magnetization (μB per formula unit): 0.00
ΔE_f (raw) (eV/atom): 0.236